Computed, not measured: an optimized crystal structure of Cu2RhAu at the PBE level of DFT.

Results
Space group: F-43m, No. 216
Energy of formation from the pure elements: 0.13 eV/atom

Cell: 4.3431 4.3431 4.3431 Å, 60.00 60.00 60.00°
Last column: nearest neighbours and their distance in Å.
Fractional positions:
Rh1 0.7500 0.7500 0.7500  4 Cu 2.66, 4 Au 2.66
Cu1 0.2500 0.2500 0.2500  4 Au 2.66, 4 Cu 2.66
Cu2 0.0000 0.0000 0.0000  4 Rh 2.66, 4 Cu 2.66
Au1 0.5000 0.5000 0.5000  4 Rh 2.66, 4 Cu 2.66

---

Computed, not measured: an optimized crystal structure of Li4BiSb3Pb2 at the PBE level of DFT.

Results
Space group: P-4m2, No. 115
Formation energy from raw total energies: -27.1 kJ/mol of atoms

Cell: 4.4990 4.4990 12.6148 Å, 90.00 90.00 90.00°
Last column: nearest neighbours and their distance in Å.
Fractional positions:
Sb1 0.5000 0.0000 0.8603  5 Li 2.67-2.86
Sb2 0.0000 0.5000 0.1397  5 Li 2.67-2.86
Pb1 0.5000 0.0000 0.2238  4 Sb 3.35, 8 Li 3.57-3.61
Li1 0.5000 0.5000 0.0000  4 Sb 2.86, 4 Li 3.18
Li2 0.0000 0.0000 0.0000  4 Sb 2.86, 4 Li 3.18
Li3 0.5000 0.0000 0.6483  3 Sb 2.67-2.93, 2 Bi 2.93
Li4 0.0000 0.5000 0.3517  3 Sb 2.67-2.93, 2 Bi 2.93
Sb3 0.0000 0.0000 0.5000  4 Li 2.93, 4 Bi 3.18
Pb2 0.0000 0.5000 0.7762  4 Sb 3.35, 8 Li 3.57-3.61
Bi1 0.5000 0.5000 0.5000  4 Li 2.93, 4 Sb 3.18

---

Computed, not measured: an optimized crystal structure of ZrAl2Co2 at the PBE level of DFT.

Results
Space group: P4/mbm, No. 127
Energy of formation from the pure elements: -0.39 eV/atom
Distance to the lowest polymorph of the same formula: 13 meV per atom

Cell: 7.2360 7.2360 2.6995 Å, 90.00 90.00 90.00°
Last column: nearest neighbours and their distance in Å.
Fractional positions:
Co1 0.8308 0.3308 0.5000  6 Al 2.49-2.55, 2 Co 2.70
Co2 0.3308 0.1692 0.5000  6 Al 2.49-2.55, 2 Co 2.70
Zr1 0.0000 0.0000 0.0000  2 Zr 2.70, 4 Al 2.85, 8 Co 3.01
Zr2 0.5000 0.5000 0.0000  2 Zr 2.70, 4 Al 2.85, 8 Co 3.01
Al1 0.3737 0.8737 0.0000  6 Co 2.49-2.55, 3 Al 2.58-2.70
Co3 0.6692 0.8308 0.5000  6 Al 2.49-2.55, 2 Co 2.70
Al2 0.6263 0.1263 0.0000  6 Co 2.49-2.55, 3 Al 2.58-2.70
Al3 0.1263 0.3737 0.0000  6 Co 2.49-2.55, 3 Al 2.58-2.70
Co4 0.1692 0.6692 0.5000  6 Al 2.49-2.55, 2 Co 2.70
Al4 0.8737 0.6263 0.0000  6 Co 2.49-2.55, 3 Al 2.58-2.70

---

Computed, not measured: an optimized crystal structure of ScCrOs at the PBE level of DFT.

Results
Space group: Amm2, No. 38
Energy of formation from the pure elements: -0.25 eV/atom
Distance to the lowest polymorph of the same formula: 34 meV per atom

Cell: 5.1966 5.1966 8.1641 Å, 90.00 90.00 120.53°
Last column: nearest neighbours and their distance in Å.
Fractional positions:
Os1 0.8233 0.1767 0.5000  6 Cr 2.51-2.69
Sc1 0.6667 0.3333 0.8128  7 Os 2.92-3.02, 5 Cr 2.95-3.08, 4 Sc 3.06-3.17
Cr1 0.0012 0.9988 0.2606  2 Cr 2.46, 4 Os 2.53-2.62
Os2 0.6631 0.8300 0.0000  4 Os 2.54-2.63, 2 Cr 2.61
Sc2 0.3340 0.6660 0.6886  5 Os 2.94-3.00, 7 Cr 3.02-3.03, 4 Sc 3.08-3.17
Cr2 0.3354 0.1657 0.5000  4 Cr 2.46-2.58, 2 Os 2.51-2.69
Sc3 0.3340 0.6660 0.3114  5 Os 2.94-3.00, 7 Cr 3.02-3.03, 4 Sc 3.08-3.17
Os3 0.1700 0.3369 0.0000  4 Os 2.54-2.63, 2 Cr 2.61
Os4 0.1699 0.8301 0.0000  4 Os 2.56-2.63, 2 Cr 2.62
Sc4 0.6667 0.3333 0.1872  7 Os 2.92-3.02, 5 Cr 2.95-3.08, 4 Sc 3.06-3.17
Cr3 0.8343 0.6646 0.5000  4 Cr 2.46-2.58, 2 Os 2.51-2.69
Cr4 0.0012 0.9988 0.7394  2 Cr 2.46, 4 Os 2.53-2.62

---

Computed, not measured: an optimized crystal structure of NdSm4Pu3S8 at the PBE level of DFT.

Results
Space group: R-3m, No. 166
Formation energy from raw total energies: -187.8 kJ/mol of atoms

Cell: 7.9803 8.0080 7.9805 Å, 119.88 120.00 90.00°
Last column: nearest neighbours and their distance in Å.
Fractional positions:
Pu1 0.5000 0.5000 0.0000  6 S 2.80-2.81
Sm1 0.0000 0.0000 0.5000  6 S 2.85
S1 0.7483 0.2517 0.0034  3 Sm 2.81-2.85, 2 Pu 2.81, 1 Nd 2.85
S2 0.2517 0.7483 0.5034  2 Pu 2.81, 3 Sm 2.81-2.85, 1 Nd 2.85
Sm2 0.5000 0.0000 0.0000  6 S 2.81
S3 0.2517 0.7483 0.9966  3 Sm 2.81-2.85, 2 Pu 2.81, 1 Nd 2.85
S4 0.2520 0.2559 0.5039  3 Pu 2.80, 3 Sm 2.85
Sm3 0.5000 0.0000 0.5000  6 S 2.85
S5 0.2551 0.2517 0.0034  3 Sm 2.81-2.85, 2 Pu 2.81, 1 Nd 2.85
Nd1 0.0000 0.5000 0.0000  6 S 2.85
Pu2 0.0000 0.5000 0.5000  6 S 2.80-2.81
S6 0.7483 0.2517 0.4966  2 Pu 2.81, 3 Sm 2.81-2.85, 1 Nd 2.85
Pu3 0.5000 0.5000 0.5000  6 S 2.80-2.81
Sm4 0.0000 0.0000 0.0000  6 S 2.85
S7 0.7480 0.7441 0.4961  3 Pu 2.80, 3 Sm 2.85
S8 0.7449 0.7483 0.9966  3 Sm 2.81-2.85, 2 Pu 2.81, 1 Nd 2.85

---

Computed, not measured: an optimized crystal structure of Rb3NpCu2O9 at the PBE level of DFT.

Results
Space group: P-3m1, No. 164
Formation energy from raw total energies: -118.0 kJ/mol of atoms

Cell: 5.7771 5.7771 7.1785 Å, 90.00 90.00 120.00°
Last column: nearest neighbours and their distance in Å.
Fractional positions:
O1 0.6729 0.8365 0.3371  1 Np 2.01, 1 Cu 2.11
O2 0.8365 0.6729 0.6629  1 Np 2.01, 1 Cu 2.11
O3 0.5000 0.5000 0.0000  2 Cu 2.03
Rb1 0.0000 0.0000 0.0000  12 O 2.89-2.92
O4 0.1635 0.8365 0.3371  1 Np 2.01, 1 Cu 2.11
Rb2 0.3333 0.6667 0.6779  12 O 2.85-2.98
O5 0.0000 0.5000 0.0000  2 Cu 2.03
Cu1 0.3333 0.6667 0.1619  6 O 2.03-2.11
Rb3 0.6667 0.3333 0.3221  12 O 2.85-2.98
O6 0.3271 0.1635 0.6629  1 Np 2.01, 1 Cu 2.11
O7 0.5000 0.0000 0.0000  2 Cu 2.03
O8 0.8365 0.1635 0.6629  1 Np 2.01, 1 Cu 2.11
O9 0.1635 0.3271 0.3371  1 Np 2.01, 1 Cu 2.11
Cu2 0.6667 0.3333 0.8381  6 O 2.03-2.11
Np1 0.0000 0.0000 0.5000  6 O 2.01

---

Computed, not measured: an optimized crystal structure of Y2Hf2In3 at the PBE level of DFT.

Results
Space group: Cmmm, No. 65
Energy of formation from the pure elements: -0.16 eV/atom

Cell: 4.6786 3.2218 11.6971 Å, 90.00 78.46 90.00°
Last column: nearest neighbours and their distance in Å.
Fractional positions:
Y1 0.5746 0.5000 0.8508  1 Hf 3.14, 3 Y 3.22-3.42, 8 In 3.32-3.43
Hf1 0.7115 0.5000 0.5770  4 Hf 2.93-3.22, 4 In 3.09, 1 Y 3.14
Y2 0.4254 0.5000 0.1492  1 Hf 3.14, 3 Y 3.22-3.42, 8 In 3.32-3.43
In1 0.1586 0.0000 0.6828  6 Hf 3.09-3.39, 2 In 3.22, 4 Y 3.43
Hf2 0.2885 0.5000 0.4230  4 Hf 2.93-3.22, 4 In 3.09, 1 Y 3.14
In2 0.8414 0.0000 0.3172  6 Hf 3.09-3.39, 2 In 3.22, 4 Y 3.43
In3 0.0000 0.0000 0.0000  2 In 3.22, 8 Y 3.32

---

Computed, not measured: an optimized crystal structure of MgUTlO6 at the PBE level of DFT.

Results
Space group: P-31c, No. 163
Formation energy from raw total energies: -185.7 kJ/mol of atoms

Cell: 5.5362 5.5362 9.2058 Å, 90.00 90.00 120.00°
Last column: nearest neighbours and their distance in Å.
Fractional positions:
Mg1 0.0000 0.0000 0.5000  6 O 2.16
Tl1 0.3333 0.6667 0.2500  6 O 2.29
O1 0.0299 0.6853 0.8757  1 U 2.08, 1 Mg 2.16, 1 Tl 2.29
O2 0.0299 0.3446 0.6243  1 U 2.08, 1 Mg 2.16, 1 Tl 2.29
O3 0.3147 0.9701 0.6243  1 U 2.08, 1 Mg 2.16, 1 Tl 2.29
O4 0.6554 0.9701 0.8757  1 U 2.08, 1 Mg 2.16, 1 Tl 2.29
U1 0.6667 0.3333 0.2500  6 O 2.08
O5 0.3446 0.0299 0.1243  1 U 2.08, 1 Mg 2.16, 1 Tl 2.29
O6 0.3446 0.3147 0.3757  1 U 2.08, 1 Mg 2.16, 1 Tl 2.29
Mg2 0.0000 0.0000 0.0000  6 O 2.16
O7 0.6853 0.6554 0.1243  1 U 2.08, 1 Mg 2.16, 1 Tl 2.29
O8 0.9701 0.6554 0.3757  1 U 2.08, 1 Mg 2.16, 1 Tl 2.29
O9 0.6554 0.6853 0.6243  1 U 2.08, 1 Mg 2.16, 1 Tl 2.29
U2 0.3333 0.6667 0.7500  6 O 2.08
O10 0.9701 0.3147 0.1243  1 U 2.08, 1 Mg 2.16, 1 Tl 2.29
O11 0.6853 0.0299 0.3757  1 U 2.08, 1 Mg 2.16, 1 Tl 2.29
Tl2 0.6667 0.3333 0.7500  6 O 2.29
O12 0.3147 0.3446 0.8757  1 U 2.08, 1 Mg 2.16, 1 Tl 2.29

---

Calculated uncorrected energy (eV/atom), listed in the same order as above: -4.572; -3.413; -6.442; -9.308; -8.175; -5.800; -6.029; -6.924